A plane-wave DFT calculation with GGA+U was carried out for MgMnOs2O after structural relaxation.

CIF file:
```
data_MgMnOs2O
_chemical_formula_sum 'Mg1 Mn1 Os2 O1'
_cell_length_a 4.7042
_cell_length_b 4.7042
_cell_length_c 3.4303
_cell_angle_alpha 90.00
_cell_angle_beta 90.00
_cell_angle_gamma 90.00
_symmetry_space_group_name_H-M 'P 4/m m m'
_symmetry_Int_Tables_number 123
_symmetry_space_group_name_Hall '-P 4 2'
loop_
_atom_site_label
_atom_site_type_symbol
_atom_site_fract_x
_atom_site_fract_y
_atom_site_fract_z
Mg1 Mg 0.0000 0.0000 0.0000
Mn1 Mn 0.5000 0.5000 0.5000
Os1 Os 0.0000 0.5000 0.5000
O1 O 0.5000 0.5000 0.0000
```

Uncorrected energy, eV/atom: -5.899